#A
SnB3Cl | Alexandria via LeMat-Bulk | PBE-GGA | optimized geometry; M_tot = 0.00 μB per formula unit
1.0
4.0505 0.0000 0.0000
0.0000 4.0505 0.0000
0.0000 0.0000 4.0505
Sn B Cl
1 3 1
direct
0.0000 0.0000 0.0000 Sn
0.0000 0.5000 0.5000 B
0.5000 0.0000 0.5000 B
0.5000 0.5000 0.0000 B
0.5000 0.5000 0.5000 Cl

---

#B
SnB3Cl | Alexandria via LeMat-Bulk | PBE-GGA | optimized geometry; M_tot = 0.00 μB per formula unit
1.0
4.6379 0.0000 0.0000
0.0000 4.6379 0.0000
0.0000 0.0000 4.6379
Sn B Cl
1 3 1
direct
0.0000 0.0000 0.0000 Sn
0.0000 0.0000 0.5000 B
0.0000 0.5000 0.0000 B
0.5000 0.0000 0.0000 B
0.5000 0.5000 0.5000 Cl

---

Which of them is most stable? Easy: #B.

---

#A
SrB2Cl8 | Alexandria via LeMat-Bulk | PBE-GGA | optimized geometry; M_tot = 0.12 μB per formula unit
1.0
8.8020 -4.7577 0.0000
8.8020 4.7577 0.0000
-5.1132 0.0000 8.2674
Sr B Cl
2 4 16
direct
0.0321 0.9679 0.7500 Sr
0.9679 0.0321 0.2500 Sr
0.1420 0.6541 0.9305 B
0.3459 0.8580 0.5695 B
0.6541 0.1420 0.4305 B
0.8580 0.3459 0.0695 B
0.0512 0.2714 0.0173 Cl
0.0845 0.6315 0.7101 Cl
0.1675 0.7851 0.4516 Cl
0.2149 0.8325 0.0484 Cl
0.2714 0.0512 0.5173 Cl
0.3028 0.4666 0.9832 Cl
0.3685 0.9155 0.7899 Cl
0.4666 0.3028 0.4832 Cl
0.5334 0.6972 0.5168 Cl
0.6315 0.0845 0.2101 Cl
0.6972 0.5334 0.0168 Cl
0.7286 0.9488 0.4827 Cl
0.7851 0.1675 0.9516 Cl
0.8325 0.2149 0.5484 Cl
0.9155 0.3685 0.2899 Cl
0.9488 0.7286 0.9827 Cl

---

#B
SrB2Cl8 | Alexandria via LeMat-Bulk | PBE-GGA | optimized geometry; M_tot = 0.00 μB per formula unit
1.0
6.1863 -4.7995 0.0000
6.1863 4.7995 0.0000
-1.3887 0.0000 5.9190
Sr B Cl
1 2 8
direct
0.0000 0.0000 0.0000 Sr
0.2075 0.2075 0.6763 B
0.7925 0.7925 0.3237 B
0.0290 0.7093 0.2589 Cl
0.2052 0.2052 0.3650 Cl
0.2907 0.9710 0.7411 Cl
0.3497 0.3497 0.8378 Cl
0.6503 0.6503 0.1622 Cl
0.7093 0.0290 0.2589 Cl
0.7948 0.7948 0.6350 Cl
0.9710 0.2907 0.7411 Cl

---

Which of them is most stable? Easy: #A.

---

#A
TaBCl3 | Alexandria via LeMat-Bulk | PBE-GGA | optimized geometry; M_tot = 3.23 μB per formula unit
1.0
4.4333 0.0000 0.0000
0.0000 4.4333 0.0000
0.0000 0.0000 4.4333
Ta B Cl
1 1 3
direct
0.0000 0.0000 0.0000 Ta
0.5000 0.5000 0.5000 B
0.0000 0.5000 0.5000 Cl
0.5000 0.0000 0.5000 Cl
0.5000 0.5000 0.0000 Cl

---

#B
TaBCl3 | Alexandria via LeMat-Bulk | PBE-GGA | optimized geometry; M_tot = 0.87 μB per formula unit
1.0
4.8537 0.0000 0.0000
0.0000 4.8537 0.0000
0.0000 0.0000 4.8537
Ta B Cl
1 1 3
direct
0.0000 0.0000 0.0000 Ta
0.5000 0.5000 0.5000 B
0.0000 0.0000 0.5000 Cl
0.0000 0.5000 0.0000 Cl
0.5000 0.0000 0.0000 Cl

---

Which of them is most stable? Easy: #B.

---

#A
TaBCl2 | Alexandria via LeMat-Bulk | PBE-GGA | optimized geometry; M_tot = 0.00 μB per formula unit
1.0
3.1739 0.0000 0.0000
-1.5870 2.7487 0.0000
0.0000 0.0000 24.7754
Ta B Cl
3 3 6
direct
0.0000 0.0000 0.0000 Ta
0.3333 0.6667 0.6667 Ta
0.6667 0.3333 0.3333 Ta
0.0000 0.0000 0.5000 B
0.3333 0.6667 0.1667 B
0.6667 0.3333 0.8333 B
0.0000 0.0000 0.0952 Cl
0.0000 0.0000 0.9048 Cl
0.3333 0.6667 0.5714 Cl
0.3333 0.6667 0.7619 Cl
0.6667 0.3333 0.2381 Cl
0.6667 0.3333 0.4286 Cl

---

#B
TaBCl2 | Alexandria via LeMat-Bulk | PBE-GGA | optimized geometry; M_tot = 0.87 μB per formula unit
1.0
9.1802 0.0000 0.0000
0.0000 9.1802 0.0000
0.0000 0.0000 4.3909
Ta B Cl
4 4 8
direct
0.0000 0.0000 0.0000 Ta
0.0000 0.5000 0.2500 Ta
0.5000 0.0000 0.7500 Ta
0.5000 0.5000 0.5000 Ta
0.0000 0.0000 0.5000 B
0.0000 0.5000 0.7500 B
0.5000 0.0000 0.2500 B
0.5000 0.5000 0.0000 B
0.0827 0.7500 0.1250 Cl
0.2500 0.0827 0.8750 Cl
0.2500 0.4173 0.3750 Cl
0.4173 0.7500 0.6250 Cl
0.5827 0.2500 0.6250 Cl
0.7500 0.5827 0.3750 Cl
0.7500 0.9173 0.8750 Cl
0.9173 0.2500 0.1250 Cl

---

#C
TaBCl2 | Alexandria via LeMat-Bulk | PBE-GGA | optimized geometry; M_tot = 0.00 μB per formula unit
1.0
3.0791 0.0000 0.0000
-1.5396 2.6666 0.0000
0.0000 0.0000 27.2056
Ta B Cl
3 3 6
direct
0.0000 0.0000 0.0000 Ta
0.3333 0.6667 0.6667 Ta
0.6667 0.3333 0.3333 Ta
0.0000 0.0000 0.5000 B
0.3333 0.6667 0.1667 B
0.6667 0.3333 0.8333 B
0.0000 0.0000 0.4004 Cl
0.0000 0.0000 0.5996 Cl
0.3333 0.6667 0.0671 Cl
0.3333 0.6667 0.2663 Cl
0.6667 0.3333 0.7337 Cl
0.6667 0.3333 0.9329 Cl

---

Which of them is most stable? Easy: #B.